Entry from Alexandria: a geometry-optimized CeNdTm2Bi4 structure (PBE-GGA).

ΔE_f in eV per atom: -0.825
Symmetry: P2/m, No. 10
DOS at the Fermi energy in states/eV/atom: 0.88

Structure (POSCAR):
```
CeNdTm2Bi4
1.0
7.8098 0.0000 0.0000
0.0000 4.5287 0.0000
-2.6196 0.0000 7.3897
Ce Nd Tm Bi
1 1 2 4
Cartesian
0.0000 0.0000 0.0000
-1.3098 2.2644 3.6949
2.5951 0.0000 3.6949
3.9049 2.2644 0.0000
0.0616 0.0000 5.5786
1.3740 2.2644 1.8674
5.1286 0.0000 1.8111
3.8162 2.2644 5.5223
```



Entry from Alexandria: a geometry-optimized Ce2NdTm3Bi6 structure (PBE-GGA).

ΔE_f in eV per atom: -0.813
Symmetry: C2/m, No. 12
DOS at the Fermi energy in states/eV/atom: 1.13

Structure (POSCAR):
```
Ce2NdTm3Bi6
1.0
9.8356 -2.2645 0.0000
9.8356 2.2645 0.0000
-2.0303 0.0000 8.7947
Ce Nd Tm Bi
2 1 3 6
Cartesian
2.5980 0.0000 2.9227
15.0428 0.0000 5.8720
9.8356 0.0000 0.0000
1.5715 0.0000 7.3297
8.8204 0.0000 4.3973
16.0692 0.0000 1.4650
-1.4696 0.0000 6.5328
4.6292 0.0000 8.1092
5.7656 0.0000 3.6168
11.8751 0.0000 5.1779
13.0116 0.0000 0.6855
19.1103 0.0000 2.2619
```



Entry from Alexandria: a geometry-optimized Ce3Nd2TmBi6 structure (PBE-GGA).

ΔE_f in eV per atom: -0.841
Symmetry: C2/m, No. 12
DOS at the Fermi energy in states/eV/atom: 1.69

Structure (POSCAR):
```
Ce3Nd2TmBi6
1.0
3.9647 -6.8692 0.0000
3.9647 6.8692 0.0000
-2.6488 0.0000 7.4731
Ce Nd Tm Bi
3 2 1 6
Cartesian
0.0000 0.0000 0.0000
3.9647 2.3305 0.0000
3.9647 -2.3305 0.0000
2.6403 4.5955 3.7365
2.6403 -4.5955 3.7365
2.6403 0.0000 3.7365
1.3493 2.2461 1.8915
0.0528 0.0000 5.6089
1.3493 -2.2461 1.8915
3.9314 2.2461 5.5816
5.2278 0.0000 1.8642
3.9314 -2.2461 5.5816
```



Entry from Alexandria: a geometry-optimized Ce2NdYBi5 structure (PBE-GGA).

ΔE_f in eV per atom: -0.009
Symmetry: P4/mmm, No. 123
DOS at the Fermi energy in states/eV/atom: 2.07

Structure (POSCAR):
```
Ce2NdYBi5
1.0
5.5987 0.0000 0.0000
0.0000 5.5987 0.0000
0.0000 0.0000 11.9109
Ce Nd Y Bi
2 1 1 5
Cartesian
0.0000 0.0000 2.5856
0.0000 0.0000 9.3253
2.7993 2.7993 0.0000
2.7993 2.7993 5.9555
0.0000 0.0000 5.9555
0.0000 2.7993 0.0000
2.7993 0.0000 0.0000
2.7993 2.7993 3.0531
2.7993 2.7993 8.8578
```



Entry from Alexandria: a geometry-optimized CeNd2YBi5 structure (PBE-GGA).

ΔE_f in eV per atom: -0.077
Symmetry: P4/mmm, No. 123
DOS at the Fermi energy in states/eV/atom: 0.98

Structure (POSCAR):
```
CeNd2YBi5
1.0
5.5774 0.0000 0.0000
0.0000 5.5774 0.0000
0.0000 0.0000 11.8934
Ce Nd Y Bi
1 2 1 5
Cartesian
0.0000 0.0000 0.0000
2.7887 2.7887 2.6598
2.7887 2.7887 9.2336
0.0000 0.0000 5.9467
0.0000 0.0000 3.0305
0.0000 0.0000 8.8629
0.0000 2.7887 0.0000
2.7887 0.0000 0.0000
2.7887 2.7887 5.9467
```



Entry from Alexandria: a geometry-optimized Ce3Nd2YBi6 structure (PBE-GGA).

ΔE_f in eV per atom: -0.864
Symmetry: C2/m, No. 12
DOS at the Fermi energy in states/eV/atom: 1.69

Structure (POSCAR):
```
Ce3Nd2YBi6
1.0
3.9720 -6.8804 0.0000
3.9720 6.8804 0.0000
-2.6509 0.0000 7.4880
Ce Nd Y Bi
3 2 1 6
Cartesian
0.0000 0.0000 0.0000
3.9720 2.3209 0.0000
3.9720 -2.3209 0.0000
2.6465 4.5980 3.7440
2.6465 -4.5980 3.7440
2.6465 0.0000 3.7440
1.3429 2.2645 1.8824
0.0364 0.0000 5.6248
1.3429 -2.2645 1.8824
3.9502 2.2645 5.6056
5.2567 0.0000 1.8632
3.9502 -2.2645 5.6056
```



Entry from Alexandria: a geometry-optimized Ce2Ni2Bi structure (PBE-GGA).

ΔE_f in eV per atom: -0.379
Symmetry: R-3m, No. 166
DOS at the Fermi energy in states/eV/atom: 1.78

Structure (POSCAR):
```
Ce2Ni2Bi
1.0
2.3859 1.3775 5.2112
-2.3859 1.3775 5.2112
0.0000 -2.7550 5.2112
Ce Ni Bi
2 2 1
Cartesian
0.0000 0.0000 3.4779
0.0000 0.0000 12.1558
0.0000 0.0000 6.5681
0.0000 0.0000 9.0656
0.0000 0.0000 0.0000
```



Entry from Alexandria: a geometry-optimized Ce2Ni2Bi structure (PBE-GGA).

ΔE_f in eV per atom: -0.514
Symmetry: P4/mbm, No. 127
DOS at the Fermi energy in states/eV/atom: 1.11

Structure (POSCAR):
```
Ce2Ni2Bi
1.0
7.4546 0.0000 0.0000
0.0000 7.4546 0.0000
0.0000 0.0000 3.8389
Ce Ni Bi
4 4 2
Cartesian
1.2985 2.4289 0.0000
2.4289 6.1562 0.0000
5.0258 1.2985 0.0000
6.1562 5.0258 0.0000
0.8958 4.6232 1.9194
2.8315 0.8958 1.9194
4.6232 6.5588 1.9194
6.5588 2.8315 1.9194
0.0000 0.0000 1.9194
3.7273 3.7273 1.9194
```



Entry from Alexandria: a geometry-optimized Ce2NiBi structure (PBE-GGA).

ΔE_f in eV per atom: -0.362
Symmetry: R-3m, No. 166
DOS at the Fermi energy in states/eV/atom: 2.41

Structure (POSCAR):
```
Ce2NiBi
1.0
2.0970 1.2107 7.2953
-2.0970 1.2107 7.2953
0.0000 -2.4215 7.2953
Ce Ni Bi
2 1 1
Cartesian
0.0000 0.0000 5.1385
0.0000 0.0000 16.7474
0.0000 0.0000 10.9429
0.0000 0.0000 0.0000
```



Entry from Alexandria: a geometry-optimized Ce3Ni3Bi4 structure (PBE-GGA).

ΔE_f in eV per atom: -0.633
Symmetry: I-43d, No. 220
DOS at the Fermi energy in states/eV/atom: 0.19

Structure (POSCAR):
```
Ce3Ni3Bi4
1.0
-4.8720 4.8720 4.8720
4.8720 -4.8720 4.8720
4.8720 4.8720 -4.8720
Ce Ni Bi
6 6 8
Cartesian
7.3080 1.2180 0.0000
3.6540 0.0000 2.4360
2.4360 3.6540 0.0000
0.0000 2.4360 3.6540
1.2180 0.0000 7.3080
0.0000 7.3080 1.2180
4.8720 -2.4360 3.6540
3.6540 4.8720 -2.4360
4.8720 2.4360 1.2180
2.4360 1.2180 4.8720
1.2180 4.8720 2.4360
-2.4360 3.6540 4.8720
4.0775 0.7945 -0.7945
6.5135 -1.6415 1.6415
0.7945 0.7945 0.7945
0.7945 -0.7945 4.0775
-0.7945 4.0775 0.7945
1.6415 6.5135 -1.6415
3.2305 3.2305 3.2305
-1.6415 1.6415 6.5135
```



Entry from Alexandria: a geometry-optimized Ce4NiBi2 structure (PBE-GGA).

ΔE_f in eV per atom: -0.463
Symmetry: I4/mmm, No. 139
DOS at the Fermi energy in states/eV/atom: 3.57

Structure (POSCAR):
```
Ce4NiBi2
1.0
-2.4836 2.4836 8.7578
2.4836 -2.4836 8.7578
2.4836 2.4836 -8.7578
Ce Ni Bi
4 1 2
Cartesian
2.4836 0.0000 0.0000
0.0000 0.0000 3.0118
0.0000 2.4836 0.0000
0.0000 0.0000 14.5038
0.0000 0.0000 0.0000
0.0000 0.0000 6.3290
0.0000 0.0000 11.1866
```



Entry from Alexandria: a geometry-optimized CeNi4Bi structure (PBE-GGA).

ΔE_f in eV per atom: -0.239
Symmetry: F-43m, No. 216
DOS at the Fermi energy in states/eV/atom: 0.85

Structure (POSCAR):
```
CeNi4Bi
1.0
0.0000 3.6093 3.6093
3.6093 0.0000 3.6093
3.6093 3.6093 0.0000
Ce Ni Bi
1 4 1
Cartesian
0.0000 0.0000 0.0000
2.7069 2.7069 2.7069
4.5117 4.5117 2.7069
4.5117 2.7069 4.5117
2.7069 4.5117 4.5117
5.4139 5.4139 5.4139
```